This record from Alexandria via LeMat-Bulk describes LiZr2Au after structural relaxation. The functional is PBEsol.

Cell lengths 4.712, 4.712, 4.712 Å; angles 60.00, 60.00, 60.00 degrees
Each line ends with the local moment (μB).
Sites, in units of the cell vectors:
1 Au 0.500 0.500 0.500  0.04
2 Li 0.250 0.250 0.250  0.00
3 Zr 0.000 0.000 0.000  0.94
4 Zr 0.750 0.750 0.750  0.53

Properties
The calculation puts the formation energy at 0.0133 eV/atom. As for the space group: F-43m, No. 216.

This record from Alexandria via LeMat-Bulk describes Sc5Hg after structural relaxation. The functional is PBEsol.

Cell lengths 3.257, 5.940, 7.437 Å; angles 103.48, 90.00, 105.91 degrees
Sites, in units of the cell vectors:
1 Sc 0.393 0.786 0.266
2 Sc 0.674 0.349 0.338
3 Sc 0.063 0.125 0.605
4 Sc 0.341 0.682 0.682
5 Sc 0.703 0.407 0.945
6 Hg 0.992 0.984 0.997

Properties
The calculation puts the formation energy at -0.1530 eV/atom. As for the space group: Cm, No. 8. For the relative energy among the computed polymorphs, the calculation gives 0.000 eV/atom.

This record from Alexandria via LeMat-Bulk describes La3TlH after structural relaxation. The functional is PBEsol.

Cell lengths 5.006, 5.006, 5.006 Å; angles 90.00, 90.00, 90.00 degrees
Sites, in units of the cell vectors:
1 H 0.000 0.000 0.000
2 Tl 0.500 0.500 0.500
3 La 0.000 0.500 0.000
4 La 0.000 0.000 0.500
5 La 0.500 0.000 0.000

Properties
As for the space group: Pm-3m, No. 221. The energy comes out at -23.8 eV/cell.

This record from Alexandria via LeMat-Bulk describes Hg2RuPb after structural relaxation. The functional is PBEsol.

Cell lengths 3.119, 3.119, 8.592 Å; angles 90.00, 90.00, 90.00 degrees
Each line ends with the local moment (μB).
Sites, in units of the cell vectors:
1 Hg 0.000 0.000 0.703  0.01
2 Hg 0.000 0.000 0.297  0.01
3 Pb 0.500 0.500 0.000  -0.01
4 Ru 0.500 0.500 0.500  0.76

Properties
The calculation puts the formation energy at 0.4334 eV/atom. As for the space group: P4/mmm, No. 123.

This record from Alexandria via LeMat-Bulk describes TiTeI2N after structural relaxation. The functional is PBEsol.

Cell lengths 4.846, 4.846, 4.746 Å; angles 90.00, 90.00, 90.00 degrees
Each line ends with the local moment (μB).
Sites, in units of the cell vectors:
1 I 0.000 0.500 0.000  -0.07
2 I 0.500 0.000 0.000  -0.07
3 N 0.000 0.000 0.000  -0.02
4 Te 0.000 0.000 0.500  -0.10
5 Ti 0.500 0.500 0.500  1.68

Properties
As for the space group: P4/mmm, No. 123. Its uncorrected formation energy is 18.07 kcal/mol of atoms.

This record from Alexandria via LeMat-Bulk describes Ta3NO after structural relaxation. The functional is PBEsol.

Cell lengths 4.104, 4.104, 4.104 Å; angles 90.00, 90.00, 90.00 degrees
Sites, in units of the cell vectors:
1 N 0.500 0.500 0.500
2 O 0.000 0.000 0.000
3 Ta 0.000 0.500 0.000
4 Ta 0.000 0.000 0.500
5 Ta 0.500 0.000 0.000

Properties
As for the space group: Pm-3m, No. 221. Its uncorrected formation energy is 9.37 kcal/mol of atoms.